Density functional theory data (PBE) for LaNi2Hg2 after structural relaxation.

Properties
The energy relative to the elements is -0.194 eV/atom. Its offset from the most stable computed form is 0.000 eV/atom.

a = 6.3932 Å, b = 6.3932 Å, c = 6.3932 Å
α = 140.85°, β = 140.85°, γ = 56.57°
Fractional coordinates of all 5 atoms:
La  0.0000  0.0000  0.0000
Ni  0.3992  0.3992  0.0000
Ni  0.6008  0.6008  0.0000
Hg  0.2500  0.7500  0.5000
Hg  0.7500  0.2500  0.5000



Density functional theory data (PBE) for La12Ni6Hg after structural relaxation.

Properties
The energy relative to the elements is -0.294 eV/atom.

a = 8.8427 Å, b = 8.8427 Å, c = 8.8427 Å
α = 109.47°, β = 109.47°, γ = 109.47°
Fractional coordinates of all 19 atoms:
La  0.1264  0.3093  0.8171
La  0.1829  0.4922  0.3093
La  0.1829  0.8736  0.6907
La  0.3093  0.1829  0.4922
La  0.3093  0.8171  0.1264
La  0.4922  0.3093  0.1829
La  0.5078  0.6907  0.8171
La  0.6907  0.1829  0.8736
La  0.6907  0.8171  0.5078
La  0.8171  0.1264  0.3093
La  0.8171  0.5078  0.6907
La  0.8736  0.6907  0.1829
Ni  0.1257  0.5000  0.6257
Ni  0.3743  0.8743  0.5000
Ni  0.5000  0.3743  0.8743
Ni  0.5000  0.6257  0.1257
Ni  0.6257  0.1257  0.5000
Ni  0.8743  0.5000  0.3743
Hg  0.0000  0.0000  0.0000



Density functional theory data (PBE) for La2NiHg after structural relaxation.

Properties
The energy relative to the elements is -0.311 eV/atom.

a = 3.9942 Å, b = 4.7939 Å, c = 6.0042 Å
α = 90.00°, β = 106.53°, γ = 90.00°
Fractional coordinates of all 4 atoms:
La  0.0000  0.0000  0.0000
La  0.2448  0.5000  0.5441
Ni  0.5531  0.5000  0.1436
Hg  0.6915  0.0000  0.4311



Density functional theory data (PBE) for La5NiHg2 after structural relaxation.

Properties
The energy relative to the elements is -0.328 eV/atom.

a = 8.4569 Å, b = 11.8454 Å, c = 4.9809 Å
α = 90.00°, β = 90.00°, γ = 90.00°
Fractional coordinates of all 16 atoms:
La  0.0000  0.0000  0.0000
La  0.1362  0.3029  0.0000
La  0.1798  0.5781  0.5000
La  0.3202  0.0781  0.5000
La  0.3638  0.8029  0.0000
La  0.5000  0.5000  0.0000
La  0.6362  0.1971  0.0000
La  0.6798  0.9219  0.5000
La  0.8202  0.4219  0.5000
La  0.8638  0.6971  0.0000
Ni  0.0000  0.5000  0.0000
Ni  0.5000  0.0000  0.0000
Hg  0.0756  0.8377  0.5000
Hg  0.4244  0.3377  0.5000
Hg  0.5756  0.6623  0.5000
Hg  0.9244  0.1623  0.5000



Density functional theory data (PBE) for La3NiHg2 after structural relaxation.

Properties
The energy relative to the elements is -0.378 eV/atom.

a = 8.8355 Å, b = 8.8355 Å, c = 7.6194 Å
α = 90.05°, β = 90.05°, γ = 35.41°
Fractional coordinates of all 12 atoms:
La  0.0025  0.9975  0.7500
La  0.3626  0.3627  0.9998
La  0.3627  0.3626  0.4998
La  0.6374  0.6373  0.0002
La  0.6373  0.6374  0.5002
La  0.9975  0.0025  0.2500
Ni  0.4973  0.5027  0.2500
Ni  0.5027  0.4973  0.7500
Hg  0.1952  0.1953  0.2501
Hg  0.1953  0.1952  0.7501
Hg  0.8047  0.8048  0.2499
Hg  0.8048  0.8047  0.7499



Density functional theory data (PBE) for LaNiHg2 after structural relaxation.

Properties
The energy relative to the elements is -0.171 eV/atom.

a = 5.5381 Å, b = 5.5381 Å, c = 5.5381 Å
α = 131.82°, β = 131.82°, γ = 70.51°
Fractional coordinates of all 4 atoms:
La  0.0000  0.0000  0.0000
Ni  0.5000  0.5000  0.0000
Hg  0.2500  0.7500  0.5000
Hg  0.7500  0.2500  0.5000



Which value of energy relative to the elements does entry 1 give? -0.194 eV/atom



The lowest energy relative to the elements belongs to which entry? La3NiHg2



Among the records above, which one has the highest energy relative to the elements? LaNiHg2